No. 1
Ti6Sb2N: relaxed, GGA-PBE.

a b c (Å): 5.752 5.752 8.788
angles (deg): 90.00 89.99 90.00
Positions (direct):
Ti 0.000 0.000 0.250
Ti 0.746 0.746 0.500
Ti 0.754 0.754 0.000
Ti 0.746 0.254 0.500
Ti 0.754 0.246 0.000
Ti 0.500 0.500 0.250
Ti 0.000 0.000 0.750
Ti 0.254 0.254 0.500
Ti 0.246 0.246 0.000
Ti 0.254 0.746 0.500
Ti 0.246 0.754 0.000
Ti 0.500 0.500 0.750
Sb 0.000 0.500 0.750
Sb 0.500 0.000 0.750
Sb 0.500 0.000 0.250
Sb 0.000 0.500 0.250
N 0.500 0.500 0.000
N 0.000 0.000 0.500

Calculated values
Density of states at the Fermi level = 0.9826 states/eV per atom
VASP energy = -7.7635 eV per atom
Energy relative to the lowest polymorph listed for this composition = 0.63 eV per formula unit

***

No. 2
Ti7SbN2: relaxed, GGA-PBE.

a b c (Å): 3.990 6.490 6.490
angles (deg): 114.24 90.00 90.00
Positions (direct):
Ti 0.000 0.724 0.276
Ti 0.000 0.276 0.724
Ti 0.500 0.077 0.347
Ti 0.500 0.923 0.653
Ti 0.500 0.347 0.077
Ti 0.500 0.653 0.923
Ti 0.500 0.500 0.500
Sb 0.000 0.000 0.000
N 0.500 0.707 0.293
N 0.500 0.293 0.707

Calculated values
Density of states at the Fermi level = 0.7671 states/eV per atom
VASP energy = -8.1580 eV per atom

***

No. 3
Ti5SbN: relaxed, GGA-PBE.

a b c (Å): 5.535 5.535 9.137
angles (deg): 65.62 65.62 61.83
Positions (direct):
Ti 0.073 0.579 0.087
Ti 0.073 0.579 0.587
Ti 0.579 0.073 0.587
Ti 0.000 0.000 0.250
Ti 0.421 0.927 0.913
Ti 0.579 0.073 0.087
Ti 0.000 0.000 0.750
Ti 0.421 0.927 0.413
Ti 0.927 0.421 0.413
Ti 0.927 0.421 0.913
Sb 0.500 0.500 0.250
Sb 0.500 0.500 0.750
N 0.000 0.000 0.000
N 0.000 0.000 0.500

Calculated values
Density of states at the Fermi level = 0.7925 states/eV per atom
VASP energy = -8.0629 eV per atom

***

- The lowest density of states at the Fermi level belongs to which entry?
  Ti7SbN2